Entry 1:
Computed, not measured: an optimized crystal structure of CsK2TlGa at the GGA-PBE level of DFT.

Structure (CIF):
```
data_CsK2TlGa
_chemical_formula_sum 'Cs1 K2 Tl1 Ga1'
_symmetry_space_group_name_H-M 'P 4/m m m'
_symmetry_Int_Tables_number 123
_symmetry_space_group_name_Hall '-P 4 2'
_cell_length_a 6.8779
_cell_length_b 6.8779
_cell_length_c 5.7637
_cell_angle_alpha 90.00
_cell_angle_beta 90.00
_cell_angle_gamma 90.00
loop_
_atom_site_label
_atom_site_type_symbol
_atom_site_fract_x
_atom_site_fract_y
_atom_site_fract_z
Cs1 Cs 0.0000 0.0000 0.0000
K1 K 0.0000 0.5000 0.5000
Tl1 Tl 0.5000 0.5000 0.5000
Ga1 Ga 0.5000 0.5000 0.0000
```

Summary:
**ΔE to the lowest computed polymorph**: 19.8 meV per atom
**Formation energy from the elements**: 0.082 eV/atom

Entry 2:
Computed, not measured: an optimized crystal structure of CsK2ZnGa at the GGA-PBE level of DFT.

Structure (CIF):
```
data_CsK2ZnGa
_chemical_formula_sum 'Cs1 K2 Zn1 Ga1'
_symmetry_space_group_name_H-M 'P 4/m m m'
_symmetry_Int_Tables_number 123
_symmetry_space_group_name_Hall '-P 4 2'
_cell_length_a 6.7827
_cell_length_b 6.7827
_cell_length_c 4.8451
_cell_angle_alpha 90.00
_cell_angle_beta 90.00
_cell_angle_gamma 90.00
loop_
_atom_site_label
_atom_site_type_symbol
_atom_site_fract_x
_atom_site_fract_y
_atom_site_fract_z
Cs1 Cs 0.0000 0.0000 0.0000
K1 K 0.0000 0.5000 0.5000
Zn1 Zn 0.5000 0.5000 0.5000
Ga1 Ga 0.5000 0.5000 0.0000
```

Summary:
**ΔE to the lowest computed polymorph**: 0.0 meV per atom
**Formation energy from the elements**: 0.113 eV/atom

Entry 3:
Computed, not measured: an optimized crystal structure of CsK2ZnGa at the GGA-PBE level of DFT.

Structure (CIF):
```
data_CsK2ZnGa
_chemical_formula_sum 'Cs1 K2 Zn1 Ga1'
_symmetry_space_group_name_H-M 'P 4/m m m'
_symmetry_Int_Tables_number 123
_symmetry_space_group_name_Hall '-P 4 2'
_cell_length_a 6.8683
_cell_length_b 6.8683
_cell_length_c 4.8794
_cell_angle_alpha 90.00
_cell_angle_beta 90.00
_cell_angle_gamma 90.00
loop_
_atom_site_label
_atom_site_type_symbol
_atom_site_fract_x
_atom_site_fract_y
_atom_site_fract_z
Cs1 Cs 0.0000 0.0000 0.0000
K1 K 0.0000 0.5000 0.5000
Zn1 Zn 0.5000 0.5000 0.0000
Ga1 Ga 0.5000 0.5000 0.5000
```

Summary:
**ΔE to the lowest computed polymorph**: 2.1 meV per atom
**Formation energy from the elements**: 0.115 eV/atom

Entry 4:
Computed, not measured: an optimized crystal structure of CsLaGa12 at the GGA-PBE level of DFT.

Structure (CIF):
```
data_CsLaGa12
_chemical_formula_sum 'Cs1 La1 Ga12'
_symmetry_space_group_name_H-M 'P 4/m m m'
_symmetry_Int_Tables_number 123
_symmetry_space_group_name_Hall '-P 4 2'
_cell_length_a 5.9963
_cell_length_b 5.9963
_cell_length_c 11.9953
_cell_angle_alpha 90.00
_cell_angle_beta 90.00
_cell_angle_gamma 90.00
loop_
_atom_site_label
_atom_site_type_symbol
_atom_site_fract_x
_atom_site_fract_y
_atom_site_fract_z
Cs1 Cs 0.0000 0.0000 0.0000
La1 La 0.0000 0.0000 0.5000
Ga1 Ga 0.1956 0.5000 0.2558
Ga2 Ga 0.5000 0.5000 0.1003
Ga3 Ga 0.5000 0.5000 0.4045
```

Summary:
**Formation energy from the elements**: 0.084 eV/atom

Entry 5:
Computed, not measured: an optimized crystal structure of CsLa3Ga at the GGA-PBE level of DFT.

Structure (CIF):
```
data_CsLa3Ga
_chemical_formula_sum 'Cs1 La3 Ga1'
_symmetry_space_group_name_H-M 'P m -3 m'
_symmetry_Int_Tables_number 221
_symmetry_space_group_name_Hall '-P 4 2 3'
_cell_length_a 5.9029
_cell_length_b 5.9029
_cell_length_c 5.9029
_cell_angle_alpha 90.00
_cell_angle_beta 90.00
_cell_angle_gamma 90.00
loop_
_atom_site_label
_atom_site_type_symbol
_atom_site_fract_x
_atom_site_fract_y
_atom_site_fract_z
Cs1 Cs 0.0000 0.0000 0.0000
La1 La 0.0000 0.0000 0.5000
Ga1 Ga 0.5000 0.5000 0.5000
```

Summary:
**ΔE to the lowest computed polymorph**: 796.4 meV per atom
**Formation energy from the elements**: 0.993 eV/atom

Entry 6:
Computed, not measured: an optimized crystal structure of Cs2LaGa at the GGA-PBE level of DFT.

Structure (CIF):
```
data_Cs2LaGa
_chemical_formula_sum 'Cs8 La4 Ga4'
_symmetry_space_group_name_H-M 'F m -3 m'
_symmetry_Int_Tables_number 225
_symmetry_space_group_name_Hall '-F 4 2 3'
_cell_length_a 8.6384
_cell_length_b 8.6384
_cell_length_c 8.6384
_cell_angle_alpha 90.00
_cell_angle_beta 90.00
_cell_angle_gamma 90.00
loop_
_atom_site_label
_atom_site_type_symbol
_atom_site_fract_x
_atom_site_fract_y
_atom_site_fract_z
Cs1 Cs 0.2500 0.2500 0.2500
La1 La 0.0000 0.0000 0.0000
Ga1 Ga 0.0000 0.0000 0.5000
```

Summary:
**Formation energy from the elements**: 0.672 eV/atom

Entry 7:
Computed, not measured: an optimized crystal structure of CsLa3Ga at the GGA-PBE level of DFT.

Structure (CIF):
```
data_CsLa3Ga
_chemical_formula_sum 'Cs1 La3 Ga1'
_symmetry_space_group_name_H-M 'P m -3 m'
_symmetry_Int_Tables_number 221
_symmetry_space_group_name_Hall '-P 4 2 3'
_cell_length_a 6.1338
_cell_length_b 6.1338
_cell_length_c 6.1338
_cell_angle_alpha 90.00
_cell_angle_beta 90.00
_cell_angle_gamma 90.00
loop_
_atom_site_label
_atom_site_type_symbol
_atom_site_fract_x
_atom_site_fract_y
_atom_site_fract_z
Cs1 Cs 0.0000 0.0000 0.0000
La1 La 0.0000 0.5000 0.5000
Ga1 Ga 0.5000 0.5000 0.5000
```

Summary:
**ΔE to the lowest computed polymorph**: 0.0 meV per atom
**Formation energy from the elements**: 0.196 eV/atom

Entry 8:
Computed, not measured: an optimized crystal structure of CsLaGa2 at the GGA-PBE level of DFT.

Structure (CIF):
```
data_CsLaGa2
_chemical_formula_sum 'Cs4 La4 Ga8'
_symmetry_space_group_name_H-M 'I 41/a m d'
_symmetry_Int_Tables_number 141
_cell_length_a 5.5297
_cell_length_b 5.5297
_cell_length_c 21.8737
_cell_angle_alpha 90.00
_cell_angle_beta 90.00
_cell_angle_gamma 90.00
loop_
_symmetry_equiv_pos_as_xyz
'x,y,z'
'-x,-y,-z'
'-y+1/4,x+3/4,z+1/4'
'y+1/4,-x+3/4,-z+1/4'
'-x+1/2,-y,z+1/2'
'x+1/2,y,-z+1/2'
'y+1/4,-x+1/4,z+3/4'
'-y+1/4,x+1/4,-z+3/4'
'x,-y,-z'
'-x,y,z'
'-y+1/4,-x+1/4,-z+3/4'
'y+1/4,x+1/4,z+3/4'
'-x+1/2,y,-z+1/2'
'x+1/2,-y,z+1/2'
'y+1/4,x+3/4,-z+1/4'
'-y+1/4,-x+3/4,z+1/4'
'x+1/2,y+1/2,z+1/2'
'-x+1/2,-y+1/2,-z+1/2'
'-y+3/4,x+1/4,z+3/4'
'y+3/4,-x+1/4,-z+3/4'
'-x,-y+1/2,z'
'x,y+1/2,-z'
'y+3/4,-x+3/4,z+1/4'
'-y+3/4,x+3/4,-z+1/4'
'x+1/2,-y+1/2,-z+1/2'
'-x+1/2,y+1/2,z+1/2'
'-y+3/4,-x+3/4,-z+1/4'
'y+3/4,x+3/4,z+1/4'
'-x,y+1/2,-z'
'x,-y+1/2,z'
'y+3/4,x+1/4,-z+3/4'
'-y+3/4,-x+1/4,z+3/4'
loop_
_atom_site_label
_atom_site_type_symbol
_atom_site_fract_x
_atom_site_fract_y
_atom_site_fract_z
Cs1 Cs 0.0000 0.2500 0.3750
La1 La 0.0000 0.2500 0.8750
Ga1 Ga 0.0000 0.0000 0.0000
```

Summary:
**ΔE to the lowest computed polymorph**: 158.9 meV per atom
**Formation energy from the elements**: 0.280 eV/atom

Entry 9:
Computed, not measured: an optimized crystal structure of CsLaGa2 at the GGA-PBE level of DFT.

Structure (CIF):
```
data_CsLaGa2
_chemical_formula_sum 'Cs4 La4 Ga8'
_symmetry_space_group_name_H-M 'F m -3 m'
_symmetry_Int_Tables_number 225
_symmetry_space_group_name_Hall '-F 4 2 3'
_cell_length_a 8.0030
_cell_length_b 8.0030
_cell_length_c 8.0030
_cell_angle_alpha 90.00
_cell_angle_beta 90.00
_cell_angle_gamma 90.00
loop_
_atom_site_label
_atom_site_type_symbol
_atom_site_fract_x
_atom_site_fract_y
_atom_site_fract_z
Cs1 Cs 0.0000 0.0000 0.0000
La1 La 0.0000 0.0000 0.5000
Ga1 Ga 0.2500 0.2500 0.2500
```

Summary:
**ΔE to the lowest computed polymorph**: 0.0 meV per atom
**Formation energy from the elements**: 0.121 eV/atom

Entry 10:
Computed, not measured: an optimized crystal structure of CsLaMgGa2 at the GGA-PBE level of DFT.

Structure (CIF):
```
data_CsLaMgGa2
_chemical_formula_sum 'Cs1 La1 Mg1 Ga2'
_symmetry_space_group_name_H-M 'P 4/m m m'
_symmetry_Int_Tables_number 123
_symmetry_space_group_name_Hall '-P 4 2'
_cell_length_a 5.6726
_cell_length_b 5.6726
_cell_length_c 5.7112
_cell_angle_alpha 90.00
_cell_angle_beta 90.00
_cell_angle_gamma 90.00
loop_
_atom_site_label
_atom_site_type_symbol
_atom_site_fract_x
_atom_site_fract_y
_atom_site_fract_z
Cs1 Cs 0.0000 0.0000 0.0000
La1 La 0.5000 0.5000 0.5000
Mg1 Mg 0.0000 0.0000 0.5000
Ga1 Ga 0.0000 0.5000 0.0000
```

Summary:
**Formation energy from the elements**: 0.928 eV/atom

Entry 11:
Computed, not measured: an optimized crystal structure of Cs4La3GaO8 at the GGA-PBE level of DFT.

Structure (CIF):
```
data_Cs4La3GaO8
_chemical_formula_sum 'Cs8 La6 Ga2 O16'
_symmetry_space_group_name_H-M 'C 1 2/m 1'
_symmetry_Int_Tables_number 12
_cell_length_a 13.2370
_cell_length_b 7.1882
_cell_length_c 7.9831
_cell_angle_alpha 90.00
_cell_angle_beta 119.17
_cell_angle_gamma 90.00
loop_
_symmetry_equiv_pos_as_xyz
'x,y,z'
'-x,-y,-z'
'-x,y,-z'
'x,-y,z'
'x+1/2,y+1/2,z'
'-x+1/2,-y+1/2,-z'
'-x+1/2,y+1/2,-z'
'x+1/2,-y+1/2,z'
loop_
_atom_site_label
_atom_site_type_symbol
_atom_site_fract_x
_atom_site_fract_y
_atom_site_fract_z
Cs1 Cs 0.0000 0.0000 0.0000
Cs2 Cs 0.0000 0.5000 0.0000
Cs3 Cs 0.2500 0.2500 0.0000
La1 La 0.0000 0.0000 0.5000
La2 La 0.2500 0.2500 0.5000
Ga1 Ga 0.0000 0.5000 0.5000
O1 O 0.0291 0.2939 0.3554
O2 O 0.2104 0.0000 0.6685
O3 O 0.2322 0.0000 0.2927
```

Entry 12:
Computed, not measured: an optimized crystal structure of Cs3LaGa2O6 at the GGA-PBE level of DFT.

Structure (CIF):
```
data_Cs3LaGa2O6
_chemical_formula_sum 'Cs3 La1 Ga2 O6'
_symmetry_space_group_name_H-M 'P -3 m 1'
_symmetry_Int_Tables_number 164
_symmetry_space_group_name_Hall '-P 3 2"'
_cell_length_a 6.4195
_cell_length_b 6.4195
_cell_length_c 7.8950
_cell_angle_alpha 90.00
_cell_angle_beta 90.00
_cell_angle_gamma 120.00
loop_
_atom_site_label
_atom_site_type_symbol
_atom_site_fract_x
_atom_site_fract_y
_atom_site_fract_z
Cs1 Cs 0.0000 0.0000 0.0000
Cs2 Cs 0.3333 0.6667 0.7527
La1 La 0.0000 0.0000 0.5000
Ga1 Ga 0.3333 0.6667 0.3080
O1 O 0.1718 0.3437 0.3080
```

no.,total energy (eV/atom)
1,-1.606
2,-1.357
3,-1.355
4,-2.923
5,-2.740
6,-1.743
7,-3.536
8,-2.679
9,-2.838
10,-1.757
11,-6.016
12,-5.590